(1)
This record from Alexandria via LeMat-Bulk describes a relaxed Er4Sb6Rh7 crystal. The functional is PBE-GGA.

Cell lengths 7.5781, 7.5781, 7.5781 Å; angles 109.47, 109.47, 109.47 degrees
Last column: nearest neighbours and their distance in Å.
Element x y z (fractional)
Rh1 0.5000 0.7500 0.2500  4 Sb 2.72
Rh2 0.2500 0.7500 0.5000  4 Sb 2.72
Rh3 0.2500 0.5000 0.7500  4 Sb 2.72
Rh4 0.0000 0.0000 0.0000  6 Sb 2.77
Rh5 0.7500 0.2500 0.5000  4 Sb 2.72
Rh6 0.7500 0.5000 0.2500  4 Sb 2.72
Rh7 0.5000 0.2500 0.7500  4 Sb 2.72
Er1 0.5000 0.0000 0.0000  6 Rh 3.09, 6 Sb 3.15
Er2 0.0000 0.0000 0.5000  6 Rh 3.09, 6 Sb 3.15
Er3 0.5000 0.5000 0.5000  6 Rh 3.09, 6 Sb 3.15
Er4 0.0000 0.5000 0.0000  6 Rh 3.09, 6 Sb 3.15
Sb1 0.6839 0.6839 0.0000  5 Rh 2.72-2.77
Sb2 0.3161 0.0000 0.3161  5 Rh 2.72-2.77
Sb3 0.0000 0.6839 0.6839  5 Rh 2.72-2.77
Sb4 0.6839 0.0000 0.6839  5 Rh 2.72-2.77
Sb5 0.3161 0.3161 0.0000  5 Rh 2.72-2.77
Sb6 0.0000 0.3161 0.3161  5 Rh 2.72-2.77

M_tot: 0.0 μB per cell
raw formation energy: -887 meV/atom
E_tot: -6.44 eV per atom
theoretical density: 10.51 Mg/m³
V: 335 Å³/cell



(2)
This record from Alexandria via LeMat-Bulk describes a relaxed LaAgGe3 crystal. The functional is PBE-GGA.

Cell lengths 5.6511, 5.6511, 5.6511 Å; angles 90.00, 90.00, 90.00 degrees
Last column: nearest neighbours and their distance in Å.
Element x y z (fractional)
Ge1 0.0000 0.0000 0.5000  2 La 2.83
Ge2 0.0000 0.5000 0.0000  2 La 2.83
Ge3 0.5000 0.0000 0.0000  2 La 2.83
La1 0.0000 0.0000 0.0000  6 Ge 2.83
Ag1 0.5000 0.5000 0.5000  12 Ge 4.00

M_tot: 0.0 μB per cell
offset from the most stable computed form: 0.8834 eV per atom
ΔH_f (0 K): 1.031 eV per atom
E_tot: -3.30 eV per atom
theoretical density: 4.28 Mg/m³
V: 180 Å³/cell



(3)
This record from Alexandria via LeMat-Bulk describes a relaxed Al2AgMo crystal. The functional is PBE-GGA.

Cell lengths 3.4954, 4.2200, 4.2200 Å; angles 90.00, 90.00, 90.00 degrees
Last column: nearest neighbours and their distance in Å.
Element x y z (fractional)
Mo1 0.5000 0.5000 0.0000  8 Al 2.74, 4 Ag 2.98
Al1 0.0000 0.0000 0.0000  4 Mo 2.74, 4 Ag 2.74, 4 Al 2.98
Al2 0.0000 0.5000 0.5000  4 Mo 2.74, 4 Ag 2.74, 4 Al 2.98
Ag1 0.5000 0.0000 0.5000  8 Al 2.74, 4 Mo 2.98

M_tot: 0.4 μB per cell
offset from the most stable computed form: 0.0000 eV per atom
ΔH_f (0 K): -0.107 eV per atom
E_tot: -5.40 eV per atom
theoretical density: 6.88 Mg/m³
V: 62 Å³/cell



(4)
This record from Alexandria via LeMat-Bulk describes a relaxed K3CePm3Se8 crystal. The functional is PBE-GGA.

Cell lengths 8.5747, 8.5765, 9.2419 Å; angles 117.66, 90.00, 119.99 degrees
Last column: nearest neighbours and their distance in Å.
Element x y z (fractional)
Se1 0.7697 0.5395 0.2980  1 Ce 2.89, 2 Pm 2.96
Se2 0.7364 0.4728 0.7091  3 Pm 2.96
Se3 0.7697 0.0282 0.2980  1 Ce 2.89, 2 Pm 2.96
Se4 0.2303 0.4605 0.7020  1 Ce 2.89, 2 Pm 2.96
Se5 0.2585 0.0282 0.2980  1 Ce 2.89, 2 Pm 2.96
Se6 0.2303 0.9718 0.7020  1 Ce 2.89, 2 Pm 2.96
Se7 0.7415 0.9718 0.7020  1 Ce 2.89, 2 Pm 2.96
Se8 0.2636 0.5272 0.2909  3 Pm 2.96
Pm1 0.5000 0.5000 0.5000  6 Se 2.96
Pm2 0.0000 0.5000 0.5000  6 Se 2.96
Pm3 0.5000 0.0000 0.5000  6 Se 2.96
K1 0.5000 0.5000 0.0000  6 Se 3.36-3.38
K2 0.0000 0.5000 0.0000  6 Se 3.36-3.38
K3 0.0000 0.0000 0.0000  6 Se 3.36-3.38
Ce1 0.0000 0.0000 0.5000  6 Se 2.89

M_tot: 0.0 μB per cell
raw formation energy: -1730 meV/atom
E_tot: -5.15 eV per atom
theoretical density: 4.42 Mg/m³
V: 497 Å³/cell



(5)
This record from Alexandria via LeMat-Bulk describes a relaxed BaMg2Pt2 crystal. The functional is PBE-GGA.

Cell lengths 4.4142, 4.4142, 6.7412 Å; angles 70.89, 70.89, 90.00 degrees
Last column: nearest neighbours and their distance in Å.
Element x y z (fractional)
Ba1 0.0000 0.0000 0.0000  8 Pt 3.41, 8 Mg 3.71
Mg1 0.2500 0.7500 0.5000  4 Pt 2.73
Mg2 0.7500 0.2500 0.5000  4 Pt 2.73
Pt1 0.3845 0.3845 0.2310  4 Mg 2.73, 1 Pt 2.76
Pt2 0.6155 0.6155 0.7690  4 Mg 2.73, 1 Pt 2.76

M_tot: 0.0 μB per cell
offset from the most stable computed form: 0.0000 eV per atom
ΔH_f (0 K): -0.772 eV per atom
E_tot: -4.21 eV per atom
theoretical density: 8.22 Mg/m³
V: 116 Å³/cell



(6)
This record from Alexandria via LeMat-Bulk describes a relaxed PrZn2GeAu2 crystal. The functional is PBE-GGA.

Cell lengths 4.7151, 4.7151, 5.8667 Å; angles 90.00, 90.00, 90.00 degrees
Last column: nearest neighbours and their distance in Å.
Element x y z (fractional)
Zn1 0.5000 0.0000 0.0000  2 Ge 2.36
Zn2 0.0000 0.5000 0.0000  2 Ge 2.36
Ge1 0.0000 0.0000 0.0000  4 Zn 2.36
Au1 0.5000 0.5000 0.2659  1 Au 2.75, 4 Zn 2.83
Au2 0.5000 0.5000 0.7341  1 Au 2.75, 4 Zn 2.83
Pr1 0.0000 0.0000 0.5000  2 Ge 2.93

M_tot: 0.0 μB per cell
ΔH_f (0 K): -0.163 eV per atom
E_tot: -3.25 eV per atom
theoretical density: 9.40 Mg/m³
V: 130 Å³/cell